Entry 1:
A plane-wave DFT calculation with GGA+U was carried out for crystalline SmV2O4 at its relaxed geometry.

The structure in CIF format:
```
data_SmV2O4
_space_group_name_H-M_alt 'C 1 2/c 1'
_space_group_IT_number 15
_cell_length_a 9.667
_cell_length_b 7.117
_cell_length_c 6.873
_cell_angle_alpha 90.00
_cell_angle_beta 133.41
_cell_angle_gamma 90.00
loop_
_space_group_symop_operation_xyz
'x,y,z'
'-x,-y,-z'
'-x,y,-z+1/2'
'x,-y,z+1/2'
'x+1/2,y+1/2,z'
'-x+1/2,-y+1/2,-z'
'-x+1/2,y+1/2,-z+1/2'
'x+1/2,-y+1/2,z+1/2'
loop_
_atom_site_label
_atom_site_fract_x
_atom_site_fract_y
_atom_site_fract_z
Sm1 0.000 0.119 0.250
V1 0.000 0.500 0.000
V2 0.250 0.250 0.000
O1 0.004 0.218 0.568
O2 0.181 0.459 0.432
```

Properties
Raw total energy, eV per atom: -8.053


Entry 2:
A plane-wave DFT calculation with GGA+U was carried out for crystalline Sm2VO6 at its relaxed geometry.

The structure in CIF format:
```
data_Sm2VO6
_space_group_name_H-M_alt 'P 1 21/c 1'
_space_group_IT_number 14
_cell_length_a 5.415
_cell_length_b 6.155
_cell_length_c 8.574
_cell_angle_alpha 90.00
_cell_angle_beta 121.77
_cell_angle_gamma 90.00
loop_
_space_group_symop_operation_xyz
'x,y,z'
'-x,-y,-z'
'-x,y+1/2,-z+1/2'
'x,-y+1/2,z+1/2'
loop_
_atom_site_label
_atom_site_fract_x
_atom_site_fract_y
_atom_site_fract_z
Sm1 0.206 0.099 0.248
V1 0.500 0.000 0.000
O1 0.157 0.147 0.948
O2 0.294 0.728 0.930
O3 0.403 0.051 0.761
```

Properties
Raw total energy, eV per atom: -7.759


Entry 3:
A plane-wave DFT calculation with GGA+U was carried out for crystalline Sm3VO6 at its relaxed geometry.

The structure in CIF format:
```
data_Sm3VO6
_space_group_name_H-M_alt 'C m c 21'
_space_group_IT_number 36
_cell_length_a 9.150
_cell_length_b 11.460
_cell_length_c 5.638
_cell_angle_alpha 90.00
_cell_angle_beta 90.00
_cell_angle_gamma 90.00
loop_
_space_group_symop_operation_xyz
'x,y,z'
'-x,-y,z+1/2'
'-x,y,z'
'x,-y,z+1/2'
'x+1/2,y+1/2,z'
'-x+1/2,-y+1/2,z+1/2'
'-x+1/2,y+1/2,z'
'x+1/2,-y+1/2,z+1/2'
loop_
_atom_site_label
_atom_site_fract_x
_atom_site_fract_y
_atom_site_fract_z
Sm1 0.000 0.103 0.000
Sm2 0.194 0.394 0.955
V1 0.000 0.308 0.424
O1 0.000 0.284 0.764
O2 0.000 0.460 0.265
O3 0.157 0.237 0.243
O4 0.160 0.015 0.726
```

Properties
Raw total energy, eV per atom: -8.203